[1]
The following is a DFT calculation (PBE-GGA) of a geometry-optimized Pm2HoTl structure.

The space group is P4/mmm (No. 123) and the conventional cell measures 4.8850, 4.8850 and 4.9907 Å, with angles of 90.00, 90.00 and 90.00 degrees. The asymmetric unit holds Pm at (0.0000, 0.5000, 0.0000), Ho at (0.0000, 0.0000, 0.5000) and Tl at (0.5000, 0.5000, 0.5000).

For the energy above the most stable polymorph in this dataset, the calculation gives 0.00 kcal/mol of atoms.

[2]
The following is a DFT calculation (PBE-GGA) of a geometry-optimized Al2IrPb structure.

The space group is Immm (No. 71) and the conventional cell measures 3.0344, 5.5787 and 9.4330 Å, with angles of 90.00, 90.00 and 90.00 degrees. The asymmetric unit holds Al at (0.0000, 0.0000, 0.2113), Ir at (0.0000, 0.5000, 0.5000) and Pb at (0.0000, 0.5000, 0.0000).

| no. | Fermi-level density of states (states/eV per atom) | formation energy from the elements (eV per atom) |
| --- | --- | --- |
| 1 | 1.581 | -0.192 |
| 2 | 0.369 | 0.059 |